CdPdOF2 at its PBEsol-relaxed geometry. Source: Alexandria, functional meta-GGA SCAN.

Summary:
* calculated density: 6.7 Mg/m³
* E_tot: -16.249 eV/atom

Cell and atoms, written as POSCAR:
```
CdPdOF2
1.0
-1.197 0.265 3.825
-3.921 -0.167 -1.215
0.079 -4.096 0.308
Pd F O Cd
1 2 1 1
Direct
0.000 0.000 0.000 Pd
0.000 0.500 0.000 F
0.000 0.000 0.500 F
0.500 0.000 0.000 O
0.500 0.500 0.500 Cd
```



CaPtSe at its PBEsol-relaxed geometry. Source: Alexandria, functional meta-GGA SCAN.

Summary:
* calculated density: 8.3 Mg/m³
* E_tot: -34.124 eV/atom

Cell and atoms, written as POSCAR:
```
CaPtSe
1.0
3.860 0.000 0.000
0.000 3.860 0.000
-1.930 -1.930 4.204
Se Pt Ca
1 1 1
Direct
0.352 0.352 0.704 Se
0.641 0.641 0.282 Pt
0.007 0.007 0.015 Ca
```



LiHgP3 at its PBEsol-relaxed geometry. Source: Alexandria, functional meta-GGA SCAN.

Summary:
* calculated density: 5.8 Mg/m³
* formation enthalpy at 0 K: 904.2 meV/atom
* E_tot: -19.446 eV/atom

Cell and atoms, written as POSCAR:
```
LiHgP3
1.0
-3.640 2.316 0.877
-1.298 -3.112 2.831
2.109 2.082 3.256
P Li Hg
3 1 1
Direct
0.000 0.500 0.000 P
0.000 0.000 0.500 P
0.500 0.000 0.000 P
0.000 0.000 0.000 Li
0.500 0.500 0.500 Hg
```